This record from Alexandria via LeMat-Bulk describes a relaxed AcPrHg17 crystal. The functional is PBE.

The structure belongs to space group R3m (No. 160, hexagonal axes); the cell edges are 10.0363, 10.0363 and 17.4796 Å and the angles 90.00°, 90.00° and 120.00°. The asymmetric unit holds Ac at (0.0000, 0.0000, 0.0000), Pr at (0.0000, 0.0000, 0.6821), Hg at (0.0000, 0.0000, 0.3084), Hg at (0.0000, 0.0000, 0.4784), Hg at (0.0032, 0.3083, 0.3609), Hg at (0.0395, 0.5197, 0.2259), Hg at (0.0956, 0.5478, 0.4999) and Hg at (0.1015, 0.5507, 0.8417).

Its magnetic moment is 0.0 Bohr magnetons per cell. The calculation puts the density at 12.34 g/cm3. The calculation puts the raw total energy at -49.85 eV per cell. As for the density of states at the Fermi level: 0.392 states/eV per atom.